This record from Alexandria describes a relaxed structure of ScInHgRu. The functional is GGA-PBE.

Unit cell a=4.742 b=4.742 c=4.742 alpha=60.00 beta=60.00 gamma=60.00
Positions (direct):
Sc: 0.000 0.000 0.000
In: 0.750 0.750 0.750
Hg: 0.250 0.250 0.250
Ru: 0.500 0.500 0.500

Results
The calculation puts the energy of formation at -0.10 eV/atom. Its electronic total energy is -19.1 eV/cell. As for the space-group type: F-43m. As for the crystal system: cubic.